# 1
This record from the Alexandria database describes a geometry-optimized Sm2Ni4As3Rh structure. The functional is GGA-PBE.

POSCAR file:
```
Sm2Ni4As3Rh
1.0
4.046 0.000 0.000
0.000 4.046 0.000
0.000 0.000 10.018
Sm Ni As Rh
2 4 3 1
direct
0.000 0.500 0.250
0.500 0.000 0.750
0.000 0.000 0.000
0.000 0.500 0.641
0.500 0.000 0.359
0.500 0.500 0.000
0.000 0.500 0.872
0.500 0.000 0.128
0.500 0.500 0.500
0.000 0.000 0.500
```

Summary:
Formation energy from the elements in eV/f.u.: -7.16
Space-group type: P-4m2, No. 115

# 2
This record from the Alexandria database describes a geometry-optimized ZrAl structure. The functional is GGA-PBE.

POSCAR file:
```
ZrAl
1.0
3.348 0.000 0.000
0.000 10.968 0.000
0.000 0.000 4.296
Zr Al
4 4
direct
0.000 0.160 0.250
0.000 0.840 0.750
0.500 0.340 0.750
0.500 0.660 0.250
0.000 0.429 0.250
0.000 0.571 0.750
0.500 0.071 0.750
0.500 0.929 0.250
```

Summary:
Formation energy from the elements in eV/f.u.: -0.94
Space-group type: Cmcm, No. 63

# 3
This record from the Alexandria database describes a geometry-optimized MgTlNiPb2 structure. The functional is GGA-PBE.

POSCAR file:
```
MgTlNiPb2
1.0
5.144 0.000 0.000
0.000 5.144 0.000
0.000 0.000 5.055
Mg Tl Ni Pb
1 1 1 2
direct
0.000 0.000 0.000
0.500 0.500 0.000
0.000 0.000 0.500
0.000 0.500 0.500
0.500 0.000 0.500
```

Summary:
Formation energy from the elements in eV/f.u.: 0.32
Space-group type: P4/mmm, No. 123

# 4
This record from the Alexandria database describes a geometry-optimized Hf3PbW structure. The functional is GGA-PBE.

POSCAR file:
```
Hf3PbW
1.0
5.097 0.000 0.000
0.000 5.097 0.000
0.000 0.000 5.097
Hf Pb W
3 1 1
direct
0.000 0.000 0.500
0.000 0.500 0.000
0.500 0.000 0.000
0.500 0.500 0.500
0.000 0.000 0.000
```

Summary:
Energy above the lowest structure with this stoichiometry in meV/atom: 0
Formation energy from the elements in eV/f.u.: 4.12
Space-group type: Pm-3m, No. 221

# 5
This record from the Alexandria database describes a geometry-optimized Pu4Se3S structure. The functional is GGA-PBE.

POSCAR file:
```
Pu4Se3S
1.0
5.819 0.000 0.000
0.000 5.819 0.000
0.000 0.000 5.819
Pu Se S
4 3 1
direct
0.000 0.000 0.000
0.000 0.500 0.500
0.500 0.000 0.500
0.500 0.500 0.000
0.000 0.000 0.500
0.000 0.500 0.000
0.500 0.000 0.000
0.500 0.500 0.500
```

Summary:
Energy above the lowest structure with this stoichiometry in meV/atom: 13
Formation energy (no corrections) in eV/atom: -1.56
Space-group type: Pm-3m, No. 221

# 6
This record from the Alexandria database describes a geometry-optimized Mg3CuSe structure. The functional is GGA-PBE.

POSCAR file:
```
Mg3CuSe
1.0
4.137 0.000 0.000
0.000 4.137 0.000
0.000 0.000 13.652
Mg Cu Se
6 2 2
direct
0.000 0.000 0.000
0.000 0.500 0.187
0.000 0.500 0.687
0.500 0.000 0.187
0.500 0.000 0.687
0.500 0.500 0.500
0.000 0.000 0.807
0.500 0.500 0.307
0.000 0.000 0.527
0.500 0.500 0.027
```

Summary:
Energy above the lowest structure with this stoichiometry in meV/atom: 198
Formation energy (no corrections) in eV/atom: -0.04
Space-group type: I4mm, No. 107

# 7
This record from the Alexandria database describes a geometry-optimized SrPr2Pd structure. The functional is GGA-PBE.

POSCAR file:
```
SrPr2Pd
1.0
4.279 0.000 0.000
-2.139 3.705 0.000
0.000 0.000 29.264
Sr Pr Pd
3 6 3
direct
0.000 0.000 0.000
0.333 0.667 0.667
0.667 0.333 0.333
0.000 0.000 0.221
0.000 0.000 0.448
0.333 0.667 0.115
0.333 0.667 0.888
0.667 0.333 0.555
0.667 0.333 0.781
0.000 0.000 0.835
0.333 0.667 0.502
0.667 0.333 0.168
```

Summary:
Energy above the lowest structure with this stoichiometry in meV/atom: 64
Formation energy from the elements in eV/f.u.: -1.04
Space-group type: R3m, No. 160

# 8
This record from the Alexandria database describes a geometry-optimized OsRhCl4 structure. The functional is GGA-PBE.

POSCAR file:
```
OsRhCl4
1.0
0.000 3.947 3.947
3.947 0.000 3.947
3.947 3.947 0.000
Os Rh Cl
1 1 4
direct
0.000 0.000 0.000
0.750 0.750 0.750
0.375 0.375 0.375
0.375 0.375 0.876
0.375 0.876 0.375
0.876 0.375 0.375
```

Summary:
Formation energy (no corrections) in eV/atom: 1.78
Space-group type: F-43m, No. 216

| no. | DOS at the Fermi energy (states/eV/cell) |
| --- | --- |
| 1 | 8.776 |
| 2 | 3.786 |
| 3 | 2.053 |
| 4 | 9.704 |
| 5 | 36.007 |
| 6 | 4.058 |
| 7 | 15.898 |
| 8 | 9.788 |